DFT (PBE-GGA) results for a geometry-optimized K3DySc2S6 structure.

uncorrected energy	-5.57	eV/atom
formation energy from raw total energies	-2078	kJ/mol of formula units

Structure (POSCAR):
```
K3DySc2S6
1.0
3.389 -5.870 0.000
3.389 5.870 0.000
-2.263 0.000 7.322
K Dy Sc S
3 1 2 6
Cartesian
0.000 0.000 0.000 K
3.389 1.935 0.000 K
3.389 -1.935 0.000 K
2.257 0.000 3.661 Dy
2.257 3.911 3.661 Sc
2.257 -3.911 3.661 Sc
1.086 2.029 2.230 S
-0.085 0.000 5.089 S
1.086 -2.029 2.230 S
3.428 2.029 5.092 S
4.600 0.000 2.233 S
3.428 -2.029 5.092 S
```